A plane-wave DFT calculation with PBE was carried out for a relaxed structure of Mg3Ga4Rh.

ρ (g cm⁻³): 5.1
Energy above the most stable polymorph in this dataset (meV per atom): 0.0
Space-group type: C2/m (12)
Energy relative to the elements (eV/atom): -0.2608

a b c (Å): 6.432 6.432 5.657
angles (deg): 101.55 101.55 40.51
Fractional coordinates of all 8 atoms:
Mg (0.000, 0.000, 0.000)
Mg (0.294, 0.294, 0.195)
Mg (0.706, 0.706, 0.805)
Ga (0.114, 0.114, 0.522)
Ga (0.348, 0.348, 0.747)
Ga (0.652, 0.652, 0.253)
Ga (0.886, 0.886, 0.478)
Rh (0.500, 0.500, 0.500)